Below is CoOsBr after structural relaxation, with properties calculated at the PBE level.

Computed properties:
* formation energy without anion corrections: 1.261 eV/atom
* magnetization: 2.291 μB/cell
* ΔE to the lowest computed polymorph: 951 meV per atom
* electronic total energy: -5.409 eV/atom

a b c (Å): 4.3031 4.3031 2.8747
angles (deg): 90.00 90.00 120.00
Element x y z (fractional)
Br  0.0000  0.0000  0.8333
Co  0.6667  0.3333  0.3333
Os  0.3333  0.6667  0.8333